A plane-wave DFT calculation with PBE was carried out for a geometry-optimized Al3Ga7 structure.

Output
- symmetry = C2/m (12)
- energy of formation from the pure elements (eV/atom) = 0.03
- D(E_F) (states/eV/cell) = 2.08
- electronic total energy (eV per atom) = -3.216
- offset from the most stable computed form (meV per atom) = 0
- magnetization (μB/atom) = 0.000

Lattice parameters (Å, degrees): 8.2536 8.2536 5.8049 105.59 105.59 28.23
Element x y z (fractional)
Al (0.0000, 0.0000, 0.0000)
Al (0.2019, 0.2019, 0.5980)
Al (0.7981, 0.7981, 0.4020)
Ga (0.0000, 0.0000, 0.5000)
Ga (0.2009, 0.2009, 0.0981)
Ga (0.3973, 0.3973, 0.6979)
Ga (0.4016, 0.4016, 0.1993)
Ga (0.5984, 0.5984, 0.8007)
Ga (0.6027, 0.6027, 0.3021)
Ga (0.7991, 0.7991, 0.9019)